4
Lattice="4.2669 0.0000 0.0000 0.0000 6.1715 -0.0817 0.0000 -3.0007 6.5366" Properties=species:S:1:pos:R:3 comment="BaSr2Rh GGA-PBEsol relaxed" space_group="No. 65" e_above_lowest_polymorph_mev_per_atom=0 total_energy_ev_per_atom=-3.55 ef_ev_per_atom=-0.061 crystal_system=orthorhombic pbc="T T T"
Sr 0.0000 1.6108 5.1761
Rh 2.1335 1.5854 3.2275
Sr 0.0000 1.5600 1.2789
Ba 2.1335 -1.5004 3.2683